Computed, not measured: a relaxed structure of Nd3Ho8Sc at the GGA-PBE level of DFT.

a = 8.3430 Å, b = 8.3430 Å, c = 8.3430 Å
α = 117.13°, β = 117.13°, γ = 95.05°
Fractional coordinates of all 12 atoms:
Nd 0.0000 0.0000 0.0000
Nd 0.2500 0.7500 0.5000
Nd 0.7500 0.2500 0.5000
Ho 0.1356 0.1356 0.7486
Ho 0.2407 0.7072 0.0000
Ho 0.2928 0.2928 0.5335
Ho 0.3870 0.3870 0.2514
Ho 0.6130 0.8644 0.0000
Ho 0.7072 0.2407 0.0000
Ho 0.7593 0.7593 0.4665
Ho 0.8644 0.6130 0.0000
Sc 0.5000 0.5000 0.0000

## Properties
formation energy from the elements	595	meV/atom
symmetry	I-42m

***

Computed, not measured: a relaxed structure of In2SiBr at the GGA-PBE level of DFT.

a = 7.4010 Å, b = 7.4010 Å, c = 7.4010 Å
α = 33.09°, β = 33.09°, γ = 33.09°
Fractional coordinates of all 4 atoms:
In 0.2291 0.2291 0.2291
In 0.7709 0.7709 0.7709
Si 0.5000 0.5000 0.5000
Br 0.0000 0.0000 0.0000

## Properties
formation energy (no corrections)	-47	meV per atom
symmetry	R-3m